Here is a geometry-optimized ZrSIN2 structure from the Alexandria database. Energies are from PBE-GGA.

Summary:
E above lowest polymorph = 797.0 meV per atom
theoretical density = 5.6 g/cm3
DFT total energy = -4.84 eV/atom

a = 4.051 Å, b = 4.051 Å, c = 5.056 Å
α = 90.00°, β = 90.00°, γ = 90.00°
Space group P4/mmm (No. 123)
One atom of each set of equivalent atoms:
1 Zr 0.000 0.000 0.000 x1
2 S 0.500 0.500 0.000 x1
3 I 0.500 0.500 0.500 x1
4 N 0.000 0.500 0.500 x2